Record 1
{"formula": "KMnGa2Pb", "functional": "PBE", "state": "relaxed", "lattice": [[4.831, 0.000, 0.000], [0.000, 4.831, 0.000], [0.000, 0.000, 5.064]], "species": ["Ga", "Ga", "K", "Mn", "Pb"], "fractional_positions": [[0.500, 0.000, 0.000], [0.000, 0.500, 0.000], [0.500, 0.500, 0.500], [0.000, 0.000, 0.000], [0.000, 0.000, 0.500]], "formation_enthalpy_0k_ev_per_atom": 0.01, "e_tot_ev_per_cell": -20.0, "m_tot_mub_per_fu": 0.000}

***

Record 2
{"formula": "K2MnGaSe4", "functional": "PBE", "state": "relaxed", "lattice": [[8.091, 0.055, -0.095], [0.049, 8.091, -0.095], [-4.048, -4.050, 6.255]], "species": ["K", "K", "K", "K", "Se", "Se", "Se", "Se", "Se", "Se", "Se", "Se", "Mn", "Mn", "Ga", "Ga"], "fractional_positions": [[0.500, 0.000, 0.500], [0.500, 0.500, 0.000], [0.500, 0.000, 0.000], [0.000, 0.000, 0.500], [0.777, 0.725, 0.536], [0.805, 0.261, 0.012], [0.775, 0.723, 0.964], [0.223, 0.275, 0.464], [0.239, 0.695, 0.488], [0.195, 0.739, 0.988], [0.761, 0.305, 0.512], [0.225, 0.277, 0.036], [0.000, 0.500, 0.000], [0.000, 0.500, 0.500], [0.000, 0.000, 0.000], [0.500, 0.500, 0.500]], "raw_formation_energy_ev_per_atom": -0.66, "e_tot_ev_per_cell": -67.3, "m_tot_mub_per_fu": 3.955}